# 1
{
  "formula": "CaSmTm2Sb4",
  "functional": "PBE-GGA",
  "state": "relaxed",
  "cell": [[7.653, 0.000, 0.000], [0.000, 4.389, 0.000], [-2.518, 0.000, 7.268]],
  "species": ["Ca", "Sm", "Tm", "Tm", "Sb", "Sb", "Sb", "Sb"],
  "fractional_positions": [[0.000, 0.000, 0.000], [0.500, 0.500, 0.000], [0.000, 0.500, 0.500], [0.500, 0.000, 0.500], [0.248, 0.000, 0.740], [0.256, 0.500, 0.262], [0.744, 0.500, 0.738], [0.752, 0.000, 0.260]],
  "e_form_raw_mev_per_atom": -1017,
  "dos_ef_per_ev_atom": 0.43
}

***

# 2
{
  "formula": "CaSm2TmSb4",
  "functional": "PBE-GGA",
  "state": "relaxed",
  "cell": [[7.691, 0.000, 0.000], [0.000, 4.430, 0.000], [-2.555, 0.000, 7.323]],
  "species": ["Ca", "Sm", "Sm", "Tm", "Sb", "Sb", "Sb", "Sb"],
  "fractional_positions": [[0.000, 0.000, 0.000], [0.500, 0.000, 0.500], [0.500, 0.500, 0.000], [0.000, 0.500, 0.500], [0.244, 0.000, 0.743], [0.249, 0.500, 0.256], [0.751, 0.500, 0.744], [0.756, 0.000, 0.257]],
  "e_form_raw_mev_per_atom": -1034,
  "dos_ef_per_ev_atom": 0.47
}

***

no.,VASP energy (eV for the cell shown)
1,-40.29
2,-40.67